1.
An optimized crystal structure of AlCd2Rh, computed with PBE.

Output
- M_tot: 0.000 μB/cell
- Energy relative to the elements: -116.0 meV per atom

abc: 4.6100 4.6100 4.6100
angles: 60.00 60.00 60.00
Closest atoms and distances in Å follow each position.
Fractional positions:
1 Rh 0.7500 0.7500 0.7500  4 Cd 2.82, 4 Al 2.82
2 Al 0.5000 0.5000 0.5000  4 Cd 2.82, 4 Rh 2.82
3 Cd 0.0000 0.0000 0.0000  4 Rh 2.82, 4 Cd 2.82
4 Cd 0.2500 0.2500 0.2500  4 Cd 2.82, 4 Al 2.82

=====

2.
An optimized crystal structure of AlCdRh2, computed with PBE.

Output
- M_tot: 0.000 μB/cell
- Energy relative to the elements: 171.0 meV per atom

abc: 5.8370 5.8370 5.8370
angles: 55.86 152.22 132.57
Closest atoms and distances in Å follow each position.
Fractional positions:
1 Rh 0.0000 0.2267 0.2267  1 Al 2.34
2 Rh 0.0000 0.7733 0.7733  1 Al 2.34
3 Al 0.0000 0.0000 0.0000  2 Rh 2.34
4 Cd 0.0000 0.5000 0.5000  4 Al 2.73, 2 Cd 2.80, 2 Rh 2.82

=====

- Which value of M_tot does entry 1 give?
  0.000 μB/cell

=====

- Look up the M_tot of the second one.
  0.000 μB/cell

=====

Repeat the second record exactly.
An optimized crystal structure of AlCdRh2, computed with PBE.

Output
- M_tot: 0.000 μB/cell
- Energy relative to the elements: 171.0 meV per atom

abc: 5.8370 5.8370 5.8370
angles: 55.86 152.22 132.57
Closest atoms and distances in Å follow each position.
Fractional positions:
1 Rh 0.0000 0.2267 0.2267  1 Al 2.34
2 Rh 0.0000 0.7733 0.7733  1 Al 2.34
3 Al 0.0000 0.0000 0.0000  2 Rh 2.34
4 Cd 0.0000 0.5000 0.5000  4 Al 2.73, 2 Cd 2.80, 2 Rh 2.82